[1]
# TbThCoNi | the Alexandria database | PBE-GGA | optimized geometry
data_TbThCoNi
_cell_length_a 4.395
_cell_length_b 5.361
_cell_length_c 5.361
_cell_angle_alpha 40.28
_cell_angle_beta 90.00
_cell_angle_gamma 90.00
_space_group_name_H-M_alt 'P 1'
_space_group_IT_number 1
loop_
_space_group_symop_operation_xyz
'x,y,z'
loop_
_atom_site_label
_atom_site_type_symbol
_atom_site_fract_x
_atom_site_fract_y
_atom_site_fract_z
Tb1 Tb 0.000 0.000 0.000
Th1 Th 0.500 0.275 0.275
Co1 Co 0.500 0.559 0.559
Ni1 Ni 0.000 0.716 0.716
# * total DFT energy (no corrections): -26.3 eV per cell
# * symmetry: Amm2, No. 38
# * total moment: 0.000 μB per atom

---

[2]
# Th2Zn15Pd2 | the Alexandria database | PBE-GGA | optimized geometry
data_Th2Zn15Pd2
_cell_length_a 6.846
_cell_length_b 6.846
_cell_length_c 6.846
_cell_angle_alpha 82.96
_cell_angle_beta 82.96
_cell_angle_gamma 82.96
_space_group_name_H-M_alt 'P 1'
_space_group_IT_number 1
loop_
_space_group_symop_operation_xyz
'x,y,z'
loop_
_atom_site_label
_atom_site_type_symbol
_atom_site_fract_x
_atom_site_fract_y
_atom_site_fract_z
Th1 Th 0.161 0.161 0.161
Th2 Th 0.839 0.839 0.839
Zn1 Zn 0.000 0.500 0.500
Zn2 Zn 0.150 0.150 0.658
Zn3 Zn 0.150 0.658 0.150
Zn4 Zn 0.215 0.500 0.785
Zn5 Zn 0.215 0.785 0.500
Zn6 Zn 0.342 0.850 0.850
Zn7 Zn 0.500 0.000 0.500
Zn8 Zn 0.500 0.215 0.785
Zn9 Zn 0.500 0.500 0.000
Zn10 Zn 0.500 0.785 0.215
Zn11 Zn 0.658 0.150 0.150
Zn12 Zn 0.785 0.215 0.500
Zn13 Zn 0.785 0.500 0.215
Zn14 Zn 0.850 0.342 0.850
Zn15 Zn 0.850 0.850 0.342
Pd1 Pd 0.388 0.388 0.388
Pd2 Pd 0.612 0.612 0.612
# * total DFT energy (no corrections): -50.5 eV per cell
# * symmetry: R-3m, No. 166
# * total moment: 0.000 μB per atom

---

[3]
# Sc2TaRe | the Alexandria database | PBE-GGA | optimized geometry
data_Sc2TaRe
_cell_length_a 9.557
_cell_length_b 9.557
_cell_length_c 9.557
_cell_angle_alpha 18.36
_cell_angle_beta 18.36
_cell_angle_gamma 18.36
_space_group_name_H-M_alt 'P 1'
_space_group_IT_number 1
loop_
_space_group_symop_operation_xyz
'x,y,z'
loop_
_atom_site_label
_atom_site_type_symbol
_atom_site_fract_x
_atom_site_fract_y
_atom_site_fract_z
Sc1 Sc 0.243 0.243 0.243
Sc2 Sc 0.757 0.757 0.757
Ta1 Ta 0.000 0.000 0.000
Re1 Re 0.500 0.500 0.500
# * total DFT energy (no corrections): -36.0 eV per cell
# * symmetry: R-3m, No. 166
# * total moment: 0.000 μB per atom

---

Please write out number 1 again, unchanged.
# TbThCoNi | the Alexandria database | PBE-GGA | optimized geometry
data_TbThCoNi
_cell_length_a 4.395
_cell_length_b 5.361
_cell_length_c 5.361
_cell_angle_alpha 40.28
_cell_angle_beta 90.00
_cell_angle_gamma 90.00
_space_group_name_H-M_alt 'P 1'
_space_group_IT_number 1
loop_
_space_group_symop_operation_xyz
'x,y,z'
loop_
_atom_site_label
_atom_site_type_symbol
_atom_site_fract_x
_atom_site_fract_y
_atom_site_fract_z
Tb1 Tb 0.000 0.000 0.000
Th1 Th 0.500 0.275 0.275
Co1 Co 0.500 0.559 0.559
Ni1 Ni 0.000 0.716 0.716
# * total DFT energy (no corrections): -26.3 eV per cell
# * symmetry: Amm2, No. 38
# * total moment: 0.000 μB per atom